No. 1
CaMg2CoP | PBE | relaxed

The structure in extended XYZ format:
```
5
Lattice="-5.7061 0.8372 0.2045 -0.3671 -1.1224 -5.6487 -0.6858 -4.9236 1.0229" Properties=species:S:1:pos:R:3 pbc="T T T"
Co -3.3794 -2.6044 -2.2107
Ca 0.0000 0.0000 0.0000
Mg -2.8530 0.4186 0.1022
Mg -0.1835 -0.5612 -2.8243
P -0.3429 -2.4618 0.5114
```

## Properties
SG: P4/mmm (123)
DOS(E_F) in states/eV per cell: 4.84
Energy of formation from the pure elements in meV/atom: 1355

No. 2
TaSeSBr2 | PBE | relaxed

The structure in extended XYZ format:
```
5
Lattice="-3.2737 -2.9732 2.6736 3.9900 -2.6547 1.9334 0.2516 3.1702 3.8335" Properties=species:S:1:pos:R:3 pbc="T T T"
S 0.4840 -1.2288 4.2203
Ta 0.0000 0.0000 0.0000
Br 1.9950 -1.3273 0.9667
Br -1.6369 -1.4866 1.3368
Se 0.1258 1.5851 1.9167
```

## Properties
SG: P4/mmm (123)
DOS(E_F) in states/eV per cell: 5.46
Energy relative to the lowest polymorph listed for this composition in meV per atom: 0

No. 3
Rb3Np3BiSe8 | PBE | relaxed

The structure in extended XYZ format:
```
15
Lattice="-6.6315 -5.3895 0.2104 7.6692 -2.7588 -2.5838 -1.0551 1.6591 9.2450" Properties=species:S:1:pos:R:3 pbc="T T T"
Rb 0.5189 -4.0741 -1.1867
Se -5.0670 -3.7257 2.8791
Np 3.3071 -0.5498 3.3306
Se -1.8445 -1.1067 2.7768
Se -1.3403 -5.0661 1.6233
Np -3.8433 -1.8652 4.7277
Se 5.0497 -2.7634 3.9925
Rb 3.8346 -1.3794 -1.2919
Np -0.0087 -3.2446 3.4358
Rb 0.0000 0.0000 0.0000
Bi -0.5275 0.8295 4.6225
Se -2.0360 -4.0639 5.3696
Se 1.8271 -5.3825 4.0948
Se 1.3230 -1.4230 5.2483
Se 2.0187 -2.4252 1.5020
```

## Properties
SG: R-3m (166)
DOS(E_F) in states/eV per cell: 26.26
Calculated total energy in Ry/atom: -0.4418

No. 4
YMn4Ru | PBE | relaxed

The structure in extended XYZ format:
```
6
Lattice="3.1390 2.3168 2.9339 -1.5531 3.6593 2.8329 -0.2773 -0.6056 4.8358" Properties=species:S:1:pos:R:3 pbc="T T T"
Ru 0.9814 4.0279 7.9519
Y 0.0000 0.0000 0.0000
Mn 2.0805 3.1794 5.4449
Mn 0.4883 2.0043 3.9568
Mn 0.3477 1.6971 6.4096
Mn -0.2994 3.8603 5.3937
```

## Properties
SG: F-43m (216)
DOS(E_F) in states/eV per cell: 10.12
Energy of formation from the pure elements in meV/atom: 210